# NaLaRhAu2, optimized geometry, DFT GGA-PBE
# **Electronic total energy**: -0.280 Ry/atom
# **Energy of formation from the pure elements**: 22 kJ/mol of atoms
data_NaLaRhAu2
_symmetry_space_group_name_H-M 'P 1'
_symmetry_Int_Tables_number 1
_cell_length_a 5.814
_cell_length_b 4.908
_cell_length_c 5.814
_cell_angle_alpha 90.00
_cell_angle_beta 90.00
_cell_angle_gamma 90.00
loop_
_symmetry_equiv_pos_as_xyz
'x,y,z'
loop_
_atom_site_label
_atom_site_fract_x
_atom_site_fract_y
_atom_site_fract_z
La1 0.000 0.000 0.000
Rh1 0.000 0.500 0.000
Au1 0.000 0.000 0.500
Au2 0.500 0.000 0.000
Na1 0.500 0.500 0.500